VASP calculation (PBE) on a relaxed TaPt3Cl crystal.

```
TaPt3Cl
1.0
4.928 0.000 0.000
0.000 4.928 0.000
0.000 0.000 4.928
Pt Ta Cl
3 1 1
Cartesian
2.464 0.000 0.000 Pt
0.000 2.464 0.000 Pt
0.000 0.000 2.464 Pt
0.000 0.000 0.000 Ta
2.464 2.464 2.464 Cl
```

Space-group type: Pm-3m, No. 221
Relative energy among the computed polymorphs, eV per atom: 0.000

---

VASP calculation (PBE) on a relaxed LaTh2PN5 crystal.

```
LaTh2PN5
1.0
5.642 0.000 0.000
0.000 6.775 0.000
0.000 0.000 6.775
N Th P La
10 4 2 2
Cartesian
2.821 0.000 0.000 N
4.391 2.504 0.884 N
1.251 2.504 0.884 N
4.391 4.271 5.891 N
1.251 4.271 5.891 N
1.251 5.891 2.504 N
2.821 3.387 3.387 N
4.391 5.891 2.504 N
1.251 0.884 4.271 N
4.391 0.884 4.271 N
2.821 2.174 5.561 Th
2.821 4.601 1.213 Th
2.821 1.213 2.174 Th
2.821 5.561 4.601 Th
0.000 0.000 3.387 P
0.000 3.387 0.000 P
0.000 3.387 3.387 La
0.000 0.000 0.000 La
```

Total DFT energy (no corrections), eV per atom: -8.52
Space-group type: P4/mbm, No. 127